This record from the Alexandria database describes a relaxed structure of CaTlSeBr. The functional is PBE.

Its uncorrected formation energy is -1.4280 eV/atom.

The space group is R3m (No. 160, hexagonal axes) and the conventional cell measures 4.2896, 4.2896 and 24.7227 Å, with angles of 90.00, 90.00 and 120.00 degrees. The distinct sites, in fractional coordinates, are Ca at (0.0000, 0.0000, 0.0000), Tl at (0.0000, 0.0000, 0.1924), Se at (0.0000, 0.0000, 0.6029) and Br at (0.0000, 0.0000, 0.4016).

=====

This record from the Alexandria database describes a relaxed structure of CsBOs3. The functional is PBE.

The formation energy is 1.6671 eV per atom. As for the energy above the most stable polymorph in this dataset: 0 meV per atom.

The space group is Pm-3m (No. 221) and the conventional cell measures 4.3513, 4.3513 and 4.3513 Å, with angles of 90.00, 90.00 and 90.00 degrees. The distinct sites, in fractional coordinates, are Cs at (0.0000, 0.0000, 0.0000), B at (0.5000, 0.5000, 0.5000) and Os at (0.0000, 0.5000, 0.5000).

=====

This record from the Alexandria database describes a relaxed structure of CaTa2Os. The functional is PBE.

The formation energy is 0.5494 eV per atom. As for the energy above the most stable polymorph in this dataset: 347 meV per atom.

The space group is Pmmm (No. 47) and the conventional cell measures 3.2663, 4.7000 and 4.8095 Å, with angles of 90.00, 90.00 and 90.00 degrees. The distinct sites, in fractional coordinates, are Ca at (0.0000, 0.0000, 0.0000), Ta at (0.0000, 0.5000, 0.5000), Ta at (0.5000, 0.0000, 0.5000) and Os at (0.5000, 0.5000, 0.0000).

=====

This record from the Alexandria database describes a relaxed structure of Pm2Mg2Pd3. The functional is PBE.

The formation energy is -0.6767 eV per atom.

The space group is C2/m (No. 12) and the conventional cell measures 10.1835, 4.3223 and 7.3203 Å, with angles of 90.00, 106.48 and 90.00 degrees. The distinct sites, in fractional coordinates, are Pm at (0.1281, 0.0000, 0.3146), Mg at (0.1316, 0.5000, 0.9257), Pd at (0.0000, 0.5000, 0.5000) and Pd at (0.1726, 0.0000, 0.7270).

=====

This record from the Alexandria database describes a relaxed structure of RbSrRhF6. The functional is PBE.

Its uncorrected formation energy is -2.6417 eV/atom.

The space group is Imma (No. 74) and the conventional cell measures 7.5236, 8.1327 and 10.4689 Å, with angles of 90.00, 90.00 and 90.00 degrees. The distinct sites, in fractional coordinates, are Rb at (0.0000, 0.2500, 0.0994), Sr at (0.0000, 0.0000, 0.5000), Rh at (0.2500, 0.2500, 0.7500), F at (0.0000, 0.2500, 0.3802), F at (0.0000, 0.2500, 0.6784) and F at (0.2144, 0.0754, 0.8828).

=====

This record from the Alexandria database describes a relaxed structure of SrOsPb2O6. The functional is PBE.

Its uncorrected formation energy is -1.4607 eV/atom.

The space group is P2_1/c (No. 14) and the conventional cell measures 5.7042, 6.3740 and 10.2240 Å, with angles of 90.00, 123.31 and 90.00 degrees. The distinct sites, in fractional coordinates, are Sr at (0.0000, 0.0000, 0.0000), Os at (0.5000, 0.0000, 0.5000), Pb at (0.2202, 0.0487, 0.7245), O at (0.1849, 0.1598, 0.4790), O at (0.2606, 0.7442, 0.9303) and O at (0.3755, 0.0652, 0.2831).

=====

This record from the Alexandria database describes a relaxed structure of LuGa2Pt. The functional is PBE.

The formation energy is -0.7031 eV per atom.

The space group is P4/mmm (No. 123) and the conventional cell measures 4.0799, 4.0799 and 4.3744 Å, with angles of 90.00, 90.00 and 90.00 degrees. The distinct sites, in fractional coordinates, are Lu at (0.0000, 0.0000, 0.0000), Ga at (0.0000, 0.5000, 0.5000) and Pt at (0.5000, 0.5000, 0.0000).

=====

This record from the Alexandria database describes a relaxed structure of Ti2VPt8. The functional is PBE.

The formation energy is -0.6470 eV per atom. As for the energy above the most stable polymorph in this dataset: 0 meV per atom.

The space group is Immm (No. 71) and the conventional cell measures 4.0526, 7.3244 and 11.7353 Å, with angles of 90.00, 90.00 and 90.00 degrees. The distinct sites, in fractional coordinates, are Ti at (0.0000, 0.0000, 0.1857), V at (0.0000, 0.0000, 0.5000), Pt at (0.0000, 0.2003, 0.0000), Pt at (0.0000, 0.2673, 0.3407) and Pt at (0.0000, 0.5000, 0.1487).

=====

This record from the Alexandria database describes a relaxed structure of Fe3P. The functional is PBE.

The formation energy is -0.1259 eV per atom. As for the energy above the most stable polymorph in this dataset: 231 meV per atom.

The space group is I4/mmm (No. 139) and the conventional cell measures 3.4073, 3.4073 and 14.6697 Å, with angles of 90.00, 90.00 and 90.00 degrees. The distinct sites, in fractional coordinates, are Fe at (0.0000, 0.0000, 0.1269), Fe at (0.0000, 0.5000, 0.0000), Fe at (0.0000, 0.5000, 0.2500) and P at (0.0000, 0.0000, 0.3738).

=====

This record from the Alexandria database describes a relaxed structure of MgVH2. The functional is PBE.

As for the energy above the most stable polymorph in this dataset: 10 meV per atom.

The space group is I-42d (No. 122) and the conventional cell measures 4.6854, 4.6854 and 6.9484 Å, with angles of 90.00, 90.00 and 90.00 degrees. The distinct sites, in fractional coordinates, are Mg at (0.0000, 0.0000, 0.0000), V at (0.0000, 0.0000, 0.5000) and H at (0.2051, 0.2500, 0.6250).

=====

This record from the Alexandria database describes a relaxed structure of CaTa2Hg. The functional is PBE.

The formation energy is 0.5220 eV per atom.

The space group is C2/m (No. 12) and the conventional cell measures 5.8852, 10.9721 and 2.9970 Å, with angles of 90.00, 117.92 and 90.00 degrees. The distinct sites, in fractional coordinates, are Ca at (0.0000, 0.0000, 0.0000), Ta at (0.2500, 0.2500, 0.5000) and Hg at (0.0000, 0.5000, 0.0000).

=====

This record from the Alexandria database describes a relaxed structure of AcPm4Ho15. The functional is PBE.

The formation energy is 0.1253 eV per atom.

The space group is P4/mmm (No. 123) and the conventional cell measures 5.8912, 5.8912 and 18.6837 Å, with angles of 90.00, 90.00 and 90.00 degrees. The distinct sites, in fractional coordinates, are Ac at (0.0000, 0.0000, 0.0000), Pm at (0.0000, 0.0000, 0.2070), Pm at (0.0000, 0.0000, 0.4026), Ho at (0.0000, 0.5000, 0.1068), Ho at (0.0000, 0.5000, 0.3030), Ho at (0.0000, 0.5000, 0.5000), Ho at (0.5000, 0.5000, 0.0000), Ho at (0.5000, 0.5000, 0.2018) and Ho at (0.5000, 0.5000, 0.4006).

=====

This record from the Alexandria database describes a relaxed structure of Li2AgSb. The functional is PBE.

Its uncorrected formation energy is -0.3566 eV/atom.

The space group is Cmmm (No. 65) and the conventional cell measures 6.0373, 7.3138 and 3.3139 Å, with angles of 90.00, 90.00 and 90.00 degrees. The distinct sites, in fractional coordinates, are Li at (0.2500, 0.2500, 0.0000), Ag at (0.0000, 0.0000, 0.5000) and Sb at (0.0000, 0.5000, 0.5000).

=====

This record from the Alexandria database describes a relaxed structure of Tb2HoTl4. The functional is PBE.

The formation energy is -0.2251 eV per atom. As for the energy above the most stable polymorph in this dataset: 0 meV per atom.

The space group is I4/mmm (No. 139) and the conventional cell measures 7.4462, 7.4462 and 7.5911 Å, with angles of 90.00, 90.00 and 90.00 degrees. The distinct sites, in fractional coordinates, are Tb at (0.0000, 0.5000, 0.0000), Ho at (0.0000, 0.0000, 0.0000) and Tl at (0.2500, 0.2500, 0.2500).

=====

This record from the Alexandria database describes a relaxed structure of BaCd4Ga. The functional is PBE.

The formation energy is -0.2110 eV per atom. As for the energy above the most stable polymorph in this dataset: 0 meV per atom.

The space group is Cmcm (No. 63) and the conventional cell measures 4.7483, 17.6995 and 7.6074 Å, with angles of 90.00, 90.00 and 90.00 degrees. The distinct sites, in fractional coordinates, are Ba at (0.0000, 0.1234, 0.2500), Cd at (0.0000, 0.0737, 0.7500), Cd at (0.0000, 0.3243, 0.0588), Cd at (0.0000, 0.5000, 0.0000) and Ga at (0.0000, 0.2350, 0.7500).

=====

This record from the Alexandria database describes a relaxed structure of TbPuTl2. The functional is PBE.

The formation energy is -0.1485 eV per atom. As for the energy above the most stable polymorph in this dataset: 29 meV per atom.

The space group is P4/mmm (No. 123) and the conventional cell measures 4.9802, 4.9802 and 4.4520 Å, with angles of 90.00, 90.00 and 90.00 degrees. The distinct sites, in fractional coordinates, are Tb at (0.0000, 0.0000, 0.0000), Pu at (0.5000, 0.5000, 0.0000) and Tl at (0.0000, 0.5000, 0.5000).

=====

This record from the Alexandria database describes a relaxed structure of ReAs. The functional is PBE.

The formation energy is 0.3027 eV per atom. As for the energy above the most stable polymorph in this dataset: 227 meV per atom.

The space group is C2/m (No. 12) and the conventional cell measures 4.3489, 4.3827 and 3.0838 Å, with angles of 90.00, 90.23 and 90.00 degrees. The distinct sites, in fractional coordinates, are Re at (0.0000, 0.0000, 0.0000) and As at (0.0000, 0.5000, 0.5000).

=====

This record from the Alexandria database describes a relaxed structure of HfCoNiIr. The functional is PBE.

The formation energy is -0.3114 eV per atom.

The space group is F-43m (No. 216) and the conventional cell measures 6.0855, 6.0855 and 6.0855 Å, with angles of 90.00, 90.00 and 90.00 degrees. The distinct sites, in fractional coordinates, are Hf at (0.0000, 0.0000, 0.0000), Co at (0.2500, 0.2500, 0.2500), Ni at (0.2500, 0.2500, 0.7500) and Ir at (0.0000, 0.0000, 0.5000).

=====

This record from the Alexandria database describes a relaxed structure of PmLuMnAg. The functional is PBE.

The formation energy is 0.0103 eV per atom.

The space group is F-43m (No. 216) and the conventional cell measures 7.2203, 7.2203 and 7.2203 Å, with angles of 90.00, 90.00 and 90.00 degrees. The distinct sites, in fractional coordinates, are Pm at (0.0000, 0.0000, 0.0000), Lu at (0.0000, 0.0000, 0.5000), Mn at (0.2500, 0.2500, 0.7500) and Ag at (0.2500, 0.2500, 0.2500).

=====

This record from the Alexandria database describes a relaxed structure of VCr2Re. The functional is PBE.

The formation energy is 0.6920 eV per atom. As for the energy above the most stable polymorph in this dataset: 843 meV per atom.

The space group is I-42d (No. 122) and the conventional cell measures 6.6302, 6.6302 and 5.0550 Å, with angles of 90.00, 90.00 and 90.00 degrees. The distinct sites, in fractional coordinates, are V at (0.0000, 0.0000, 0.0000), Cr at (0.2492, 0.2500, 0.1250) and Re at (0.0000, 0.0000, 0.5000).

=====

This record from the Alexandria database describes a relaxed structure of LaCe5Bi3. The functional is PBE.

The formation energy is -0.4902 eV per atom.

The space group is P6_3/mcm (No. 193) and the conventional cell measures 9.7105, 9.7105 and 6.6401 Å, with angles of 90.00, 90.00 and 120.00 degrees. The distinct sites, in fractional coordinates, are La at (0.0000, 0.0000, 0.0000), Ce at (0.0000, 0.3410, 0.2500), Ce at (0.3333, 0.6667, 0.0000) and Bi at (0.0000, 0.3295, 0.7500).

=====

This record from the Alexandria database describes a relaxed structure of TiZnS2. The functional is PBE.

Its uncorrected formation energy is -0.7529 eV/atom. As for the energy above the most stable polymorph in this dataset: 122 meV per atom.

The space group is I-42d (No. 122) and the conventional cell measures 5.6186, 5.6186 and 10.6971 Å, with angles of 90.00, 90.00 and 90.00 degrees. The distinct sites, in fractional coordinates, are Ti at (0.0000, 0.0000, 0.0000), Zn at (0.0000, 0.0000, 0.5000) and S at (0.2407, 0.2500, 0.6250).

=====

This record from the Alexandria database describes a relaxed structure of CdFe2Sb2. The functional is PBE.

Its uncorrected formation energy is 0.2355 eV/atom. As for the energy above the most stable polymorph in this dataset: 0 meV per atom.

The space group is P4/mbm (No. 127) and the conventional cell measures 7.2202, 7.2202 and 3.6064 Å, with angles of 90.00, 90.00 and 90.00 degrees. The distinct sites, in fractional coordinates, are Cd at (0.0000, 0.0000, 0.0000), Fe at (0.1242, 0.3758, 0.0000) and Sb at (0.1628, 0.6628, 0.5000).

=====

This record from the Alexandria database describes a relaxed structure of CsAsPb. The functional is PBE.

The formation energy is -0.2046 eV per atom.

The space group is P2_1/m (No. 11) and the conventional cell measures 4.6047, 3.7172 and 13.2452 Å, with angles of 90.00, 95.96 and 90.00 degrees. The distinct sites, in fractional coordinates, are Cs at (0.1590, 0.2500, 0.2194), As at (0.3547, 0.2500, 0.9625) and Pb at (0.2694, 0.2500, 0.5593).

=====

Summary of raw total energy in eV per atom
-3.809, -6.577, -8.685, -4.715, -5.000, -6.468, -4.857, -7.305, -7.825, -4.344, -5.980, -4.464, -3.057, -3.554, -1.646, -6.072, -8.246, -8.237, -5.313, -9.511, -5.628, -5.109, -4.982, -3.275
(order as listed above)